MnGaPSe: relaxed, GGA-PBE.

The space group is Amm2 (No. 38) and the conventional cell measures 3.7964, 3.9572 and 10.3821 Å, with angles of 90.00, 90.00 and 90.00 degrees. The distinct sites, in fractional coordinates, are Mn at (0.0000, 0.0000, 0.0000), Ga at (0.5000, 0.0000, 0.1758), P at (0.0000, 0.0000, 0.5866) and Se at (0.5000, 0.0000, 0.8491).

The value obtained for the magnetic moment is 0.634 μB/atom. The calculation puts the energy above the lowest structure with this stoichiometry at 0.87 eV per formula unit. The calculation puts the formation energy from raw total energies at -0.08 eV/atom.